DFT (PBE) results for a relaxed structure of TcOsPb2.

Output
DOS at the Fermi energy = 9.3 states/eV per cell
polymorph energy (0 for the lowest one) = 726.2 meV/atom
density = 14.63 Mg/m³
total DFT energy (no corrections) = -49.3 eV for the cell shown
formation energy from the elements = 105 kJ per mole of atoms

```
data_TcOsPb2
_chemical_formula_sum 'Tc2 Os2 Pb4'
_space_group_name_H-M_alt 'C m m m'
_space_group_IT_number 65
_space_group_name_Hall '-C 2 2'
_cell_length_a 3.295
_cell_length_b 5.434
_cell_length_c 8.908
_cell_angle_alpha 90.00
_cell_angle_beta 90.00
_cell_angle_gamma 90.00
loop_
_atom_site_label
_atom_site_type_symbol
_atom_site_fract_x
_atom_site_fract_y
_atom_site_fract_z
_atom_site_occupancy
Tc1 Tc 0.000 0.000 0.000 1
Os1 Os 0.000 0.000 0.500 1
Pb1 Pb 0.000 0.500 0.250 1
```